No. 1
{
  "formula": "Na3Sr",
  "functional": "GGA-PBE",
  "state": "relaxed",
  "cell": [[5.7913, 0.0000, 0.0000], [0.0000, 6.7951, 0.0000], [0.0000, 0.0000, 8.5647]],
  "species": ["Na", "Na", "Na", "Na", "Na", "Na", "Sr", "Sr"],
  "frac_coords": [[0.0000, 0.7500, 0.8669], [0.0000, 0.2500, 0.1331], [0.5000, 0.0000, 0.0000], [0.5000, 0.5000, 0.0000], [0.5000, 0.7500, 0.6220], [0.5000, 0.2500, 0.3780], [0.0000, 0.2500, 0.6681], [0.0000, 0.7500, 0.3319]],
  "e_form_ev_per_atom": 0.06
}

=====

No. 2
{
  "formula": "NaSr",
  "functional": "GGA-PBE",
  "state": "relaxed",
  "cell": [[7.3498, 0.0000, 0.0000], [0.0000, 7.2007, 0.0000], [0.0000, 0.0000, 13.9295]],
  "species": ["Na", "Na", "Na", "Na", "Na", "Na", "Na", "Na", "Sr", "Sr", "Sr", "Sr", "Sr", "Sr", "Sr", "Sr"],
  "frac_coords": [[0.3753, 0.8772, 0.5251], [0.8753, 0.6228, 0.4749], [0.6247, 0.3772, 0.9749], [0.1247, 0.1228, 0.0251], [0.3598, 0.4059, 0.1740], [0.8598, 0.0941, 0.8260], [0.6402, 0.9059, 0.3260], [0.1402, 0.5941, 0.6740], [0.8725, 0.1241, 0.5570], [0.3725, 0.3759, 0.4430], [0.1275, 0.6241, 0.9430], [0.6275, 0.8759, 0.0570], [0.1489, 0.8800, 0.2650], [0.6489, 0.6200, 0.7350], [0.8511, 0.3800, 0.2350], [0.3511, 0.1200, 0.7650]],
  "e_form_ev_per_atom": 0.04,
  "de_polymorph_kj_per_mol_fu": 3.5
}